[1]
Entry from OQMD via LeMat-Bulk: a relaxed structure of InAgPtO3 (GGA-PBE).

electronic total energy: -4.960 eV per atom

Unit cell a=10.1876 b=3.1126 c=11.2100 alpha=90.00 beta=90.00 gamma=90.00
Sites, in units of the cell vectors:
O  0.6457  0.5000  0.3679
O  0.3357  0.0000  0.3864
Ag  0.8849  0.5000  0.5291
Pt  0.3480  0.5000  0.5162
O  0.3543  0.0000  0.6321
In  0.5441  0.0000  0.7193
Pt  0.6520  0.0000  0.4838
Ag  0.1151  0.0000  0.4709
In  0.0441  0.5000  0.7807
O  0.8543  0.5000  0.8679
O  0.5187  0.5000  0.8395
Pt  0.1520  0.5000  0.0162
O  0.1457  0.0000  0.1321
In  0.4559  0.5000  0.2807
O  0.4813  0.0000  0.1605
Ag  0.3849  0.0000  0.9709
O  0.0187  0.0000  0.6605
O  0.6643  0.5000  0.6136
Ag  0.6151  0.5000  0.0291
In  0.9559  0.0000  0.2193
O  0.1643  0.0000  0.8864
O  0.8357  0.5000  0.1136
Pt  0.8480  0.0000  0.9838
O  0.9813  0.5000  0.3395

=====

[2]
Entry from OQMD via LeMat-Bulk: a relaxed structure of RbIn2AgO4 (GGA-PBE).

electronic total energy: -4.842 eV per atom

Unit cell a=3.3109 b=3.3109 c=12.1906 alpha=90.00 beta=90.00 gamma=120.00
Sites, in units of the cell vectors:
O  0.0000  0.0000  0.3311
O  0.3333  0.6667  0.1436
Rb  0.3333  0.6667  0.5000
O  0.0000  0.0000  0.6689
Ag  0.0000  0.0000  0.0000
In  0.6667  0.3333  0.7641
In  0.6667  0.3333  0.2359
O  0.3333  0.6667  0.8564

=====

[3]
Entry from OQMD via LeMat-Bulk: a relaxed structure of InReAg3O4 (GGA-PBE).

electronic total energy: -5.018 eV per atom

Unit cell a=5.7305 b=5.7305 c=5.7305 alpha=90.00 beta=90.00 gamma=90.00
Site moments in Bohr magnetons follow the coordinates.
Sites, in units of the cell vectors:
Ag  0.0000  0.5000  0.5000  0.01
O  0.6920  0.6920  0.3080  0.08
O  0.6920  0.3080  0.6920  0.08
Ag  0.5000  0.5000  0.0000  0.04
Ag  0.5000  0.0000  0.5000  0.03
In  0.0000  0.0000  0.0000  -0.01
Re  0.5000  0.5000  0.5000  1.18
O  0.3080  0.3080  0.3080  0.09
O  0.3080  0.6920  0.6920  0.08

=====

[4]
Entry from OQMD via LeMat-Bulk: a relaxed structure of InAg3SnO4 (GGA-PBE).

electronic total energy: -4.288 eV per atom

Unit cell a=5.3250 b=5.3250 c=5.3250 alpha=90.00 beta=90.00 gamma=90.00
Sites, in units of the cell vectors:
Ag  0.5000  0.5000  0.0000
Ag  0.0000  0.5000  0.5000
O  0.2308  0.2308  0.2308
Ag  0.5000  0.0000  0.5000
O  0.7692  0.7692  0.2308
O  0.7692  0.2308  0.7692
O  0.2308  0.7692  0.7692
In  0.0000  0.0000  0.0000
Sn  0.5000  0.5000  0.5000

=====

[5]
Entry from OQMD via LeMat-Bulk: a relaxed structure of InAgSnO3 (GGA-PBE).

electronic total energy: -5.165 eV per atom

Unit cell a=10.2190 b=3.2556 c=10.3742 alpha=90.00 beta=90.00 gamma=90.00
Sites, in units of the cell vectors:
O  0.8915  0.0000  0.0179
O  0.6085  0.5000  0.5179
Sn  0.5303  0.0000  0.6329
In  0.7126  0.5000  0.8809
O  0.8104  0.5000  0.2436
O  0.4246  0.5000  0.7090
In  0.2874  0.0000  0.1191
Sn  0.0303  0.0000  0.8671
Sn  0.4697  0.5000  0.3671
O  0.1896  0.0000  0.7564
O  0.9246  0.5000  0.7910
O  0.5754  0.0000  0.2910
O  0.1085  0.5000  0.9821
Ag  0.4074  0.5000  0.9332
In  0.7874  0.0000  0.3809
O  0.6896  0.0000  0.7436
O  0.3104  0.5000  0.2564
O  0.0754  0.0000  0.2090
Ag  0.9074  0.5000  0.5668
Ag  0.5926  0.0000  0.0668
In  0.2126  0.5000  0.6191
O  0.3915  0.0000  0.4821
Sn  0.9697  0.5000  0.1329
Ag  0.0926  0.0000  0.4332

=====

[6]
Entry from OQMD via LeMat-Bulk: a relaxed structure of TaInAgO3 (GGA-PBE).

electronic total energy: -7.016 eV per atom

Unit cell a=10.1377 b=3.0961 c=12.6419 alpha=90.00 beta=90.00 gamma=90.00
Sites, in units of the cell vectors:
O  0.7402  0.0000  0.6324
O  0.4683  0.0000  0.4243
O  0.0317  0.0000  0.9243
Ag  0.5365  0.0000  0.0851
Ag  0.9635  0.0000  0.5851
O  0.2402  0.5000  0.8676
Ta  0.8523  0.0000  0.0050
Ta  0.1477  0.5000  0.9950
O  0.7598  0.0000  0.1324
In  0.0983  0.5000  0.7335
O  0.7118  0.5000  0.4246
Ta  0.6477  0.0000  0.5050
O  0.7882  0.5000  0.9246
O  0.2882  0.0000  0.5754
In  0.9017  0.0000  0.2665
In  0.5983  0.0000  0.7665
Ta  0.3523  0.5000  0.4950
In  0.4017  0.5000  0.2335
O  0.5317  0.5000  0.5757
O  0.2118  0.0000  0.0754
Ag  0.0365  0.5000  0.4149
O  0.9683  0.5000  0.0757
O  0.2598  0.5000  0.3676
Ag  0.4635  0.5000  0.9149

=====

[7]
Entry from OQMD via LeMat-Bulk: a relaxed structure of TbInAg2O4 (GGA-PBE).

electronic total energy: -5.744 eV per atom

Unit cell a=3.4133 b=3.4133 c=12.6012 alpha=90.00 beta=90.00 gamma=120.00
Sites, in units of the cell vectors:
O  0.6667  0.3333  0.5819
In  0.0000  0.0000  0.5000
Ag  0.3333  0.6667  0.2523
Ag  0.6667  0.3333  0.7477
O  0.6667  0.3333  0.9121
O  0.3333  0.6667  0.0879
Tb  0.0000  0.0000  0.0000
O  0.3333  0.6667  0.4181

=====

[8]
Entry from OQMD via LeMat-Bulk: a relaxed structure of InTcAgO3 (GGA-PBE).

electronic total energy: -6.071 eV per atom

Unit cell a=10.0821 b=2.9537 c=10.3380 alpha=90.00 beta=90.00 gamma=90.00
Sites, in units of the cell vectors:
O  0.9324  0.5000  0.7981
O  0.1809  0.0000  0.7763
O  0.4324  0.5000  0.7019
Tc  0.5312  0.0000  0.6016
O  0.1426  0.5000  0.0004
O  0.6809  0.0000  0.7237
O  0.0676  0.0000  0.2019
In  0.7093  0.5000  0.8709
In  0.2907  0.0000  0.1291
O  0.6426  0.5000  0.4996
Tc  0.4688  0.5000  0.3984
In  0.7907  0.0000  0.3709
O  0.3191  0.5000  0.2763
Ag  0.4122  0.5000  0.9212
O  0.8574  0.0000  0.9996
O  0.5676  0.0000  0.2981
In  0.2093  0.5000  0.6291
Ag  0.5878  0.0000  0.0788
Ag  0.0878  0.0000  0.4212
Tc  0.9688  0.5000  0.1016
O  0.3574  0.0000  0.5004
Tc  0.0312  0.0000  0.8984
O  0.8191  0.5000  0.2237
Ag  0.9122  0.5000  0.5788

=====

Q: Look up the electronic total energy of the eighth one.
A: -6.071 eV per atom

=====

Q: Which of these has the lowest electronic total energy?
A: TaInAgO3